(1)
The following is a DFT calculation (GGA-PBE) of a relaxed RbTi2Cl crystal.

Cell and atoms, written as CIF:
```
data_RbTi2Cl
_chemical_formula_sum 'Rb4 Ti8 Cl4'
_cell_length_a 7.331
_cell_length_b 7.331
_cell_length_c 10.390
_cell_angle_alpha 90.00
_cell_angle_beta 90.00
_cell_angle_gamma 90.00
_space_group_name_H-M_alt 'I -4 2 d'
_space_group_IT_number 122
_space_group_name_Hall 'I -4 2bw'
loop_
_atom_site_label
_atom_site_fract_x
_atom_site_fract_y
_atom_site_fract_z
_atom_site_occupancy
Rb1 0.000 0.000 0.000 1
Ti1 0.004 0.250 0.625 1
Cl1 0.000 0.000 0.500 1
```

Properties
* ΔE to the lowest computed polymorph: 0.0 meV/atom
* electronic total energy: -3.954 eV per atom
* DOS(E_F): 17.9 states/eV per cell


(2)
The following is a DFT calculation (GGA-PBE) of a relaxed Rb3TiCl crystal.

Cell and atoms, written as CIF:
```
data_Rb3TiCl
_chemical_formula_sum 'Rb3 Ti1 Cl1'
_cell_length_a 6.443
_cell_length_b 6.443
_cell_length_c 6.443
_cell_angle_alpha 90.00
_cell_angle_beta 90.00
_cell_angle_gamma 90.00
_space_group_name_H-M_alt 'P m -3 m'
_space_group_IT_number 221
_space_group_name_Hall '-P 4 2 3'
loop_
_atom_site_label
_atom_site_fract_x
_atom_site_fract_y
_atom_site_fract_z
_atom_site_occupancy
Rb1 0.000 0.000 0.500 1
Ti1 0.500 0.500 0.500 1
Cl1 0.000 0.000 0.000 1
```

Properties
* ΔE to the lowest computed polymorph: 0.0 meV/atom
* electronic total energy: -2.513 eV per atom
* DOS(E_F): 10.2 states/eV per cell


(3)
The following is a DFT calculation (GGA-PBE) of a relaxed RbTiCl6 crystal.

Cell and atoms, written as CIF:
```
data_RbTiCl6
_chemical_formula_sum 'Rb4 Ti4 Cl24'
_cell_length_a 11.375
_cell_length_b 11.375
_cell_length_c 11.375
_cell_angle_alpha 90.00
_cell_angle_beta 90.00
_cell_angle_gamma 90.00
_space_group_name_H-M_alt 'F m -3 m'
_space_group_IT_number 225
_space_group_name_Hall '-F 4 2 3'
loop_
_atom_site_label
_atom_site_fract_x
_atom_site_fract_y
_atom_site_fract_z
_atom_site_occupancy
Rb1 0.000 0.000 0.000 1
Ti1 0.000 0.000 0.500 1
Cl1 0.000 0.000 0.294 1
```

Properties
* electronic total energy: -3.837 eV per atom
* DOS(E_F): 47.5 states/eV per cell


(4)
The following is a DFT calculation (GGA-PBE) of a relaxed Rb2TiCl crystal.

Cell and atoms, written as CIF:
```
data_Rb2TiCl
_chemical_formula_sum 'Rb8 Ti4 Cl4'
_cell_length_a 8.954
_cell_length_b 8.954
_cell_length_c 8.954
_cell_angle_alpha 90.00
_cell_angle_beta 90.00
_cell_angle_gamma 90.00
_space_group_name_H-M_alt 'F m -3 m'
_space_group_IT_number 225
_space_group_name_Hall '-F 4 2 3'
loop_
_atom_site_label
_atom_site_fract_x
_atom_site_fract_y
_atom_site_fract_z
_atom_site_occupancy
Rb1 0.250 0.250 0.250 1
Ti1 0.000 0.000 0.000 1
Cl1 0.000 0.000 0.500 1
```

Properties
* ΔE to the lowest computed polymorph: 107.4 meV/atom
* electronic total energy: -2.717 eV per atom
* DOS(E_F): 0.0 states/eV per cell


(5)
The following is a DFT calculation (GGA-PBE) of a relaxed RbTi4Cl8 crystal.

Cell and atoms, written as CIF:
```
data_RbTi4Cl8
_chemical_formula_sum 'Rb2 Ti8 Cl16'
_cell_length_a 11.564
_cell_length_b 6.871
_cell_length_c 9.767
_cell_angle_alpha 90.00
_cell_angle_beta 121.45
_cell_angle_gamma 90.00
_space_group_name_H-M_alt 'C 1 2/m 1'
_space_group_IT_number 12
loop_
_space_group_symop_operation_xyz
'x,y,z'
'-x,-y,-z'
'-x,y,-z'
'x,-y,z'
'x+1/2,y+1/2,z'
'-x+1/2,-y+1/2,-z'
'-x+1/2,y+1/2,-z'
'x+1/2,-y+1/2,z'
loop_
_atom_site_label
_atom_site_fract_x
_atom_site_fract_y
_atom_site_fract_z
_atom_site_occupancy
Rb1 0.000 0.000 0.000 1
Ti1 0.000 0.303 0.500 1
Ti2 0.214 0.500 0.490 1
Cl1 0.021 0.000 0.348 1
Cl2 0.024 0.500 0.724 1
Cl3 0.249 0.254 0.311 1
```

Properties
* electronic total energy: -5.118 eV per atom
* DOS(E_F): 9.9 states/eV per cell


(6)
The following is a DFT calculation (GGA-PBE) of a relaxed RbTi2TlCl8 crystal.

Cell and atoms, written as CIF:
```
data_RbTi2TlCl8
_chemical_formula_sum 'Rb1 Ti2 Tl1 Cl8'
_cell_length_a 7.0094
_cell_length_b 7.0094
_cell_length_c 10.5849
_cell_angle_alpha 90.00
_cell_angle_beta 90.00
_cell_angle_gamma 120.00
_space_group_name_H-M_alt 'P -3'
_space_group_IT_number 147
loop_
_space_group_symop_operation_xyz
'x,y,z'
'-x,-y,-z'
'-y,x-y,z'
'y,-x+y,-z'
'-x+y,-x,z'
'x-y,x,-z'
loop_
_atom_site_label
_atom_site_fract_x
_atom_site_fract_y
_atom_site_fract_z
_atom_site_occupancy
Rb1 0.0000 0.0000 0.0000 1
Ti1 0.3333 0.6667 0.7861 1
Tl1 0.0000 0.0000 0.5000 1
Cl1 0.0427 0.3391 0.7209 1
Cl2 0.3333 0.6667 0.0000 1
```

Properties
* electronic total energy: -4.326 eV per atom
* DOS(E_F): 13.0 states/eV per cell